1.
VASP calculation (GGA-PBE) on crystalline Li2DyB2 at its relaxed geometry.

Properties
The total energy is -44.1 eV per cell. As for the magnetic moment: 0.02 μB per formula unit.

a b c (Å): 3.6884 3.6884 9.8653
angles (deg): 90.00 90.00 90.00
Space group I4/mmm (No. 139)
Unique sites:
Li: 0.0000 0.5000 0.2500 (multiplicity 4)
Dy: 0.0000 0.0000 0.0000 (multiplicity 2)
B: 0.0000 0.0000 0.4191 (multiplicity 4)

---

2.
VASP calculation (GGA-PBE) on crystalline BeCoHgB at its relaxed geometry.

Properties
The total energy is -58.7 eV per cell. As for the magnetic moment: 0.21 μB per formula unit.

a b c (Å): 5.6147 5.6147 5.6147
angles (deg): 90.00 90.00 90.00
Space group F-43m (No. 216)
Unique sites:
Be: 0.0000 0.0000 0.0000 (multiplicity 4)
Co: 0.2500 0.2500 0.7500 (multiplicity 4)
Hg: 0.2500 0.2500 0.2500 (multiplicity 4)
B: 0.0000 0.0000 0.5000 (multiplicity 4)

---

3.
VASP calculation (GGA-PBE) on crystalline HoZr at its relaxed geometry.

Properties
The value obtained for the formation energy from the elements is 0.07 eV per atom. The total energy is -26.0 eV per cell. As for the magnetic moment: 0.00 μB per formula unit.

a b c (Å): 5.3475 3.3606 5.9423
angles (deg): 90.00 90.00 90.00
Space group Pmma (No. 51)
Unique sites:
Ho: 0.2500 0.0000 0.1667 (multiplicity 2)
Zr: 0.2500 0.5000 0.6431 (multiplicity 2)